1.
## Rb2YTcO6 (PBE)

Data for crystalline Rb2YTcO6 at its relaxed geometry.

Cell and atoms, written as extended XYZ:
```
10
Lattice="5.771 0.000 0.000 0.000 6.447 0.000 0.000 -3.223 5.583" Properties=species:S:1:pos:R:3 pbc="T T T"
O 4.599 0.000 1.514
O 1.173 3.223 4.069
O 4.599 -1.912 4.826
O 1.173 1.312 0.757
O 1.173 5.135 0.757
O 4.599 1.912 4.826
Tc 0.000 0.000 0.000
Rb 0.697 0.000 3.722
Rb 5.074 3.223 1.861
Y 2.886 0.000 0.000
```

Values from the calculation:
Total energy   -6.7128 eV per atom
Formation energy without anion corrections   -18.61 eV per formula unit

2.
## Rb3ZnTc2O8 (PBE)

Data for crystalline Rb3ZnTc2O8 at its relaxed geometry.

Cell and atoms, written as extended XYZ:
```
14
Lattice="-0.480 -2.696 -5.309 0.880 -3.252 4.933 -7.859 -0.592 1.012" Properties=species:S:1:pos:R:3 pbc="T T T"
O -1.981 -3.357 3.553
O -2.418 -1.743 1.104
O -7.678 -3.458 -0.910
O -2.219 -4.696 0.917
O -5.240 -1.845 -0.281
O -5.478 -3.183 -2.917
O -5.041 -4.798 -0.468
O 0.219 -3.082 1.546
Rb -4.886 -3.467 2.203
Rb 0.000 0.000 0.000
Rb -2.573 -3.073 -1.567
Tc -5.927 -3.326 -1.135
Tc -1.532 -3.214 1.771
Zn -3.929 -0.296 0.506
```

Values from the calculation:
Total energy   -6.0871 eV per atom
Formation energy without anion corrections   -20.65 eV per formula unit

3.
## RbZrTcO6 (PBE)

Data for crystalline RbZrTcO6 at its relaxed geometry.

Cell and atoms, written as extended XYZ:
```
9
Lattice="5.467 0.000 0.000 2.734 4.735 0.000 0.000 0.000 6.216" Properties=species:S:1:pos:R:3 pbc="T T T"
O 1.720 2.770 4.233
O 3.689 2.758 1.992
O 3.278 0.161 1.992
O 2.208 0.104 4.233
O 1.235 1.816 1.992
O 4.273 1.860 4.233
Tc 2.734 1.578 3.262
Rb 5.467 0.000 0.038
Zr 5.467 3.157 2.887
```

Values from the calculation:
Total energy   -7.5096 eV per atom
Formation energy without anion corrections   -17.96 eV per formula unit

4.
## RbZrTc2O (PBE)

Data for crystalline RbZrTc2O at its relaxed geometry.

Cell and atoms, written as extended XYZ:
```
5
Lattice="-4.134 -3.188 -0.946 1.286 -2.605 3.157 -2.920 2.758 3.466" Properties=species:S:1:pos:R:3 pbc="T T T"
Tc -2.067 -1.594 -0.473
Tc -1.460 1.379 1.733
Rb -2.884 -1.517 2.838
O 0.643 -1.302 1.578
Zr 0.000 0.000 0.000
```

Values from the calculation:
Total energy   -6.1449 eV per atom
Formation energy without anion corrections   4.48 eV per formula unit

5.
## Rb2TeO (PBE)

Data for crystalline Rb2TeO at its relaxed geometry.

Cell and atoms, written as extended XYZ:
```
8
Lattice="-7.202 -9.018 0.546 7.907 -6.629 -5.199 1.214 -8.389 -0.294" Properties=species:S:1:pos:R:3 pbc="T T T"
Rb 2.804 -13.525 -3.036
Rb -0.101 -18.617 -3.221
Rb 2.862 -9.225 -3.142
Rb -1.726 -6.704 -0.495
O 0.352 -7.823 -2.326
O 4.737 -11.421 -3.910
Te -2.817 -12.615 -1.037
Te 0.000 0.000 0.000
```

Values from the calculation:
Distance to the lowest polymorph of the same formula   0.00 eV per formula unit
Total energy   -3.3517 eV per atom
Formation energy without anion corrections   -3.37 eV per formula unit

6.
## RbTe3O (PBE)

Data for crystalline RbTe3O at its relaxed geometry.

Cell and atoms, written as extended XYZ:
```
5
Lattice="6.263 0.000 0.000 0.000 6.263 0.000 0.000 0.000 6.263" Properties=species:S:1:pos:R:3 pbc="T T T"
Rb 0.000 0.000 0.000
Te 0.000 0.000 3.131
Te 0.000 3.131 0.000
Te 3.131 0.000 0.000
O 3.131 3.131 3.131
```

Values from the calculation:
Distance to the lowest polymorph of the same formula   10.76 eV per formula unit
Total energy   -1.4340 eV per atom
Formation energy without anion corrections   8.18 eV per formula unit

7.
## RbTe3O (PBE)

Data for crystalline RbTe3O at its relaxed geometry.

Cell and atoms, written as extended XYZ:
```
10
Lattice="-4.032 -6.799 1.015 5.102 -3.088 -4.467 3.640 -1.394 5.121" Properties=species:S:1:pos:R:3 pbc="T T T"
Te 3.407 -6.021 -3.636
Te 1.058 -4.061 0.575
Te 3.810 -3.575 -1.222
Te 5.618 -4.267 1.322
Te 6.564 -4.704 -1.478
Te 2.890 -4.763 3.152
Rb -2.396 -6.756 0.287
Rb 3.231 -7.679 0.081
O -1.327 -7.094 3.479
O 2.162 -7.341 -3.111
```

Values from the calculation:
Distance to the lowest polymorph of the same formula   0.00 eV per formula unit
Total energy   -3.5858 eV per atom
Formation energy without anion corrections   -2.58 eV per formula unit

8.
## RbTeO3 (PBE)

Data for crystalline RbTeO3 at its relaxed geometry.

Cell and atoms, written as extended XYZ:
```
10
Lattice="-0.171 1.824 2.696 -5.074 -6.098 1.833 6.106 -3.696 2.890" Properties=species:S:1:pos:R:3 pbc="T T T"
O 3.752 -4.078 4.969
O 2.016 -3.664 2.607
O 4.449 -2.946 2.276
O -1.156 -4.307 4.812
O -3.589 -5.024 5.143
O -2.892 -3.892 2.450
Rb -0.532 -2.436 1.615
Rb 1.393 -5.534 5.804
Te 3.253 -2.633 3.959
Te -2.392 -5.338 3.460
```

Values from the calculation:
Total energy   -4.8851 eV per atom
Formation energy without anion corrections   -5.44 eV per formula unit

9.
## Rb2Te2O7 (PBE)

Data for crystalline Rb2Te2O7 at its relaxed geometry.

Cell and atoms, written as extended XYZ:
```
11
Lattice="-1.299 4.695 1.249 -5.384 -2.363 3.281 2.881 -1.020 3.993" Properties=species:S:1:pos:R:3 pbc="T T T"
Te -3.667 -1.792 6.510
Te -0.135 3.104 2.013
O -1.653 1.907 1.236
O -2.940 -2.432 4.666
O 0.000 0.000 0.000
O -0.862 3.743 3.857
O -2.149 -0.595 7.286
O -3.638 -0.106 5.320
O -0.164 1.417 3.203
Rb -1.489 1.613 5.626
Rb -2.313 -0.301 2.896
```

Values from the calculation:
Total energy   -4.7786 eV per atom
Formation energy without anion corrections   -9.64 eV per formula unit

10.
## Rb2TeO4 (PBE)

Data for crystalline Rb2TeO4 at its relaxed geometry.

Cell and atoms, written as extended XYZ:
```
7
Lattice="-1.707 3.501 1.199 -3.691 -1.704 -0.279 -2.240 -1.214 7.279" Properties=species:S:1:pos:R:3 pbc="T T T"
O -2.361 -0.658 5.484
O -5.278 1.241 2.714
O -0.853 1.750 0.600
O -1.846 -0.852 -0.140
Rb -5.083 0.346 5.603
Rb -2.555 0.237 2.596
Te 0.000 0.000 0.000
```

Values from the calculation:
Distance to the lowest polymorph of the same formula   0.38 eV per formula unit
Total energy   -4.8750 eV per atom
Formation energy without anion corrections   -9.22 eV per formula unit

11.
## Rb4TeO4 (PBE)

Data for crystalline Rb4TeO4 at its relaxed geometry.

Cell and atoms, written as extended XYZ:
```
9
Lattice="-3.725 -4.649 3.565 4.526 -4.966 -1.746 2.840 6.016 4.053" Properties=species:S:1:pos:R:3 pbc="T T T"
Te 0.000 0.000 0.000
O 3.774 -4.674 0.131
O 2.865 -2.215 4.584
O 2.334 4.155 3.379
O -1.693 -4.463 3.649
Rb 2.263 -2.483 -0.873
Rb -1.863 -2.324 1.782
Rb 1.864 0.695 2.855
Rb 1.776 -4.294 3.016
```

Values from the calculation:
Distance to the lowest polymorph of the same formula   0.00 eV per formula unit
Total energy   -4.1629 eV per atom
Formation energy without anion corrections   -10.62 eV per formula unit

12.
## RbTe2O6 (PBE)

Data for crystalline RbTe2O6 at its relaxed geometry.

Cell and atoms, written as extended XYZ:
```
18
Lattice="-3.941 1.055 -6.216 -0.185 -5.285 -5.227 -6.241 -3.876 -1.148" Properties=species:S:1:pos:R:3 pbc="T T T"
Rb 0.000 0.000 0.000
Rb -2.592 -2.027 -3.148
O -7.363 -6.149 -11.451
O -3.234 -4.534 -5.879
O -4.699 -2.061 -6.265
O -8.260 -8.072 -9.475
O -7.133 -3.573 -6.713
O -5.826 -6.560 -9.027
O -7.291 -4.088 -9.413
O -4.771 -4.122 -8.303
O -5.596 -3.984 -4.289
O -8.187 -6.011 -7.437
O -5.668 -6.045 -6.327
O -9.724 -5.599 -9.861
Te -4.509 -5.594 -4.762
Te -6.479 -5.066 -7.870
Te -6.387 -2.424 -5.256
Te -3.359 -3.128 -7.296
```

Values from the calculation:
Total energy   -5.2831 eV per atom
Formation energy without anion corrections   -10.55 eV per formula unit

13.
## Rb4TeO (PBE)

Data for crystalline Rb4TeO at its relaxed geometry.

Cell and atoms, written as extended XYZ:
```
12
Lattice="-3.025 -4.570 -2.043 1.045 -3.808 6.971 -3.756 10.826 6.477" Properties=species:S:1:pos:R:3 pbc="T T T"
Rb -3.154 2.845 6.688
Rb -3.091 1.460 1.318
Rb -2.581 -0.397 4.717
Rb -2.549 -2.615 1.256
Rb 0.000 0.000 0.000
Rb 0.522 -1.904 3.486
Rb -2.645 0.988 10.087
Rb -3.186 5.063 10.149
Te -2.818 -4.140 5.067
Te -2.917 6.588 6.338
O -4.340 2.604 8.979
O -1.396 -0.156 2.426
```

Values from the calculation:
Distance to the lowest polymorph of the same formula   0.00 eV per formula unit
Total energy   -2.9619 eV per atom
Formation energy without anion corrections   -5.80 eV per formula unit

14.
## Rb4TeO4 (PBE)

Data for crystalline Rb4TeO4 at its relaxed geometry.

Cell and atoms, written as extended XYZ:
```
9
Lattice="-3.193 -0.989 5.315 3.555 -5.749 -2.643 5.349 -1.473 2.940" Properties=species:S:1:pos:R:3 pbc="T T T"
O 0.255 -1.628 1.248
O 2.123 -5.666 2.531
O 1.598 -3.162 6.391
O 7.445 -5.967 1.052
Te 0.000 0.000 0.000
Rb 5.250 -5.803 3.468
Rb 4.441 -4.878 0.367
Rb -0.740 -2.780 4.140
Rb 2.468 -2.962 3.248
```

Values from the calculation:
Distance to the lowest polymorph of the same formula   0.43 eV per formula unit
Total energy   -4.1149 eV per atom
Formation energy without anion corrections   -10.19 eV per formula unit

15.
## Rb2TeO (PBE)

Data for crystalline Rb2TeO at its relaxed geometry.

Cell and atoms, written as extended XYZ:
```
4
Lattice="-4.725 2.985 1.832 -2.685 3.771 -3.628 -5.314 -1.285 -2.170" Properties=species:S:1:pos:R:3 pbc="T T T"
Te -6.362 2.736 -1.983
Rb -3.181 1.368 -0.992
Rb -9.543 4.104 -2.975
O 0.000 0.000 0.000
```

Values from the calculation:
Distance to the lowest polymorph of the same formula   1.92 eV per formula unit
Total energy   -2.8710 eV per atom
Formation energy without anion corrections   -1.45 eV per formula unit

16.
## Rb2TeO4 (PBE)

Data for crystalline Rb2TeO4 at its relaxed geometry.

Cell and atoms, written as extended XYZ:
```
7
Lattice="6.711 0.066 0.000 -0.039 6.711 0.000 -3.336 -3.388 4.768" Properties=species:S:1:pos:R:3 pbc="T T T"
O 0.314 1.823 0.000
O 0.750 -0.738 1.520
O 4.086 2.650 3.247
O 4.854 6.434 0.000
Rb 3.357 0.031 2.384
Rb -0.017 3.353 2.384
Te 6.710 0.067 0.000
```

Values from the calculation:
Distance to the lowest polymorph of the same formula   0.00 eV per formula unit
Total energy   -4.9297 eV per atom
Formation energy without anion corrections   -9.60 eV per formula unit

17.
## Rb4TeO (PBE)

Data for crystalline Rb4TeO at its relaxed geometry.

Cell and atoms, written as extended XYZ:
```
12
Lattice="7.199 0.000 0.245 0.000 8.152 0.000 -1.802 -4.076 7.877" Properties=species:S:1:pos:R:3 pbc="T T T"
Te 1.042 0.000 3.034
Te 4.355 4.076 5.087
Rb 0.000 5.972 0.000
Rb 0.000 2.180 0.000
Rb 1.724 1.676 6.301
Rb 4.809 0.000 4.930
Rb 3.673 5.752 1.821
Rb 1.724 -1.676 6.301
Rb 3.673 2.400 1.821
Rb 0.587 4.076 3.192
O 3.512 0.000 7.430
O 1.885 4.076 0.692
```

Values from the calculation:
Distance to the lowest polymorph of the same formula   0.29 eV per formula unit
Total energy   -2.9127 eV per atom
Formation energy without anion corrections   -5.51 eV per formula unit

18.
## Rb8Te3O (PBE)

Data for crystalline Rb8Te3O at its relaxed geometry.

Cell and atoms, written as extended XYZ:
```
24
Lattice="8.519 0.000 0.000 0.000 10.036 -5.795 0.000 0.000 11.589" Properties=species:S:1:pos:R:3 pbc="T T T"
Rb 4.248 5.540 -1.994
Rb 4.257 0.000 0.000
Rb 4.248 5.540 1.994
Rb 4.248 8.993 0.000
Rb 2.471 1.819 3.150
Rb 6.731 3.637 0.000
Rb 8.507 4.496 3.801
Rb 6.731 8.218 2.645
Rb 8.507 1.043 5.795
Rb 2.471 1.819 8.439
Rb 4.612 3.345 5.795
Rb 8.507 4.496 7.788
Rb 0.352 6.691 0.000
Rb 8.516 0.000 0.000
Rb 6.731 8.218 -2.645
Rb 2.471 6.399 5.795
Te 1.890 8.325 -2.830
Te 6.150 1.711 8.625
Te 6.150 6.614 5.795
Te 6.150 1.711 2.964
Te 1.890 3.423 0.000
Te 1.890 8.325 2.830
O 5.966 6.691 0.000
O 1.706 3.345 5.795
```

Values from the calculation:
Total energy   -2.8021 eV per atom
Formation energy without anion corrections   -11.50 eV per formula unit

19.
## Rb2TeO3 (PBE)

Data for crystalline Rb2TeO3 at its relaxed geometry.

Cell and atoms, written as extended XYZ:
```
12
Lattice="-3.760 3.042 4.627 -2.887 -2.753 -5.377 -0.639 -5.925 3.377" Properties=species:S:1:pos:R:3 pbc="T T T"
O -3.151 -2.282 5.821
O -4.884 -1.275 0.312
O -0.996 -2.277 -0.711
O -2.402 -4.361 2.315
O -1.248 -0.601 2.183
O -6.290 -3.359 3.338
Te -3.047 -4.235 -4.532
Te -4.239 -1.402 7.159
Rb -3.817 -6.747 1.335
Rb -3.469 1.110 1.292
Rb -3.788 -1.852 2.981
Rb -3.497 -3.784 -0.354
```

Values from the calculation:
Total energy   -4.5328 eV per atom
Formation energy without anion corrections   -7.25 eV per formula unit

20.
## Rb2TeO5 (PBE)

Data for crystalline Rb2TeO5 at its relaxed geometry.

Cell and atoms, written as extended XYZ:
```
8
Lattice="4.049 0.000 0.000 0.000 6.628 0.000 0.000 0.000 6.628" Properties=species:S:1:pos:R:3 pbc="T T T"
O 0.000 1.345 1.345
O 0.000 1.345 5.283
O 0.000 5.283 1.345
O 2.024 0.000 0.000
O 0.000 5.283 5.283
Rb 2.024 0.000 3.314
Rb 2.024 3.314 0.000
Te 0.000 0.000 0.000
```

Values from the calculation:
Total energy   -4.7399 eV per atom
Formation energy without anion corrections   -8.05 eV per formula unit